# 1
The following is a DFT calculation (PBE-GGA) of a geometry-optimized BPt2 structure.

Structure (POSCAR):
```
BPt2
1.0
2.546 -1.470 0.000
0.000 2.939 0.000
0.000 0.000 10.423
B Pt
2 4
direct
0.333 0.667 0.250
0.667 0.333 0.750
0.333 0.667 0.884
0.667 0.333 0.116
0.667 0.333 0.384
0.333 0.667 0.616
```

Calculated values
DFT total energy: -6.445 eV per atom
Total magnetization: 0.01 Bohr magnetons per cell

# 2
The following is a DFT calculation (PBE-GGA) of a geometry-optimized BPt2 structure.

Structure (POSCAR):
```
BPt2
1.0
0.000 3.679 3.679
3.679 0.000 3.679
3.679 3.679 0.000
Pt B
4 2
direct
0.625 0.125 0.625
0.625 0.625 0.125
0.125 0.625 0.625
0.625 0.625 0.625
0.250 0.250 0.250
0.000 0.000 0.000
```

Calculated values
DFT total energy: -4.838 eV per atom
Total magnetization: 0.02 Bohr magnetons per cell

# 3
The following is a DFT calculation (PBE-GGA) of a geometry-optimized BPt2 structure.

Structure (POSCAR):
```
BPt2
1.0
-1.372 1.373 4.990
1.372 -1.373 4.990
1.372 1.373 -4.990
Pt B
2 1
direct
0.365 0.365 0.000
0.635 0.635 0.000
0.000 0.000 0.000
```

Calculated values
DFT total energy: -6.227 eV per atom
Total magnetization: 0.00 Bohr magnetons per cell

# 4
The following is a DFT calculation (PBE-GGA) of a geometry-optimized RbBPt structure.

Structure (POSCAR):
```
RbBPt
1.0
2.026 -1.942 -3.554
2.344 -3.836 0.547
-1.603 -3.891 -1.673
Rb Pt B
1 1 1
direct
0.750 0.750 0.750
0.250 0.250 0.250
0.000 0.000 0.000
```

Calculated values
DFT total energy: -3.160 eV per atom
Total magnetization: 0.00 Bohr magnetons per cell

# 5
The following is a DFT calculation (PBE-GGA) of a geometry-optimized RbB4Pt structure.

Structure (POSCAR):
```
RbB4Pt
1.0
-0.013 1.111 -2.929
1.841 -2.422 0.748
-6.258 -5.379 -2.012
B Rb Pt
4 1 1
direct
0.333 0.667 0.807
0.667 0.333 0.193
0.333 0.667 0.193
0.667 0.333 0.807
0.000 0.000 0.500
0.000 0.000 0.000
```

Calculated values
DFT total energy: -5.211 eV per atom
Total magnetization: 0.01 Bohr magnetons per cell

# 6
The following is a DFT calculation (PBE-GGA) of a geometry-optimized RbBPt structure.

Structure (POSCAR):
```
RbBPt
1.0
0.000 3.284 3.284
3.284 0.000 3.284
3.284 3.284 0.000
Pt B Rb
1 1 1
direct
0.000 0.000 0.000
0.250 0.250 0.250
0.750 0.750 0.750
```

Calculated values
DFT total energy: -3.035 eV per atom
Total magnetization: 0.00 Bohr magnetons per cell